BaIrRh after structural relaxation, computed with PBE.

energy relative to the elements = 1.3756 eV per atom
ΔE to the lowest computed polymorph = 1358 meV/atom

a = 4.7508 Å, b = 4.7508 Å, c = 4.7508 Å
α = 60.00°, β = 60.00°, γ = 60.00°
Last column: magnetic moment on the atom in μB.
Fractional coordinates of all 3 atoms:
Rh 0.5000 0.5000 0.5000  0.21
Ir 0.0000 0.0000 0.0000  0.26
Ba 0.2500 0.2500 0.2500  0.00

=====

Tb2ZnSn2Rh5 after structural relaxation, computed with PBE.

energy relative to the elements = -0.5258 eV per atom

a = 3.6481 Å, b = 10.1224 Å, c = 10.1224 Å
α = 90.00°, β = 90.00°, γ = 90.00°
Fractional coordinates of all 20 atoms:
Rh 0.5000 0.8045 0.9440
Rh 0.5000 0.0560 0.8045
Rh 0.5000 0.3045 0.5560
Rh 0.5000 0.6955 0.4440
Rh 0.5000 0.9440 0.1955
Rh 0.5000 0.0000 0.5000
Rh 0.5000 0.5000 0.0000
Rh 0.5000 0.1955 0.0560
Rh 0.5000 0.5560 0.6955
Rh 0.5000 0.4440 0.3045
Tb 0.0000 0.6684 0.1684
Tb 0.0000 0.3316 0.8316
Tb 0.0000 0.1684 0.3316
Tb 0.0000 0.8316 0.6684
Zn 0.0000 0.0000 0.0000
Zn 0.0000 0.5000 0.5000
Sn 0.0000 0.1316 0.6316
Sn 0.0000 0.3684 0.1316
Sn 0.0000 0.8684 0.3684
Sn 0.0000 0.6316 0.8684

=====

LaZr2P after structural relaxation, computed with PBE.

energy relative to the elements = -0.2833 eV per atom

a = 3.6005 Å, b = 5.0879 Å, c = 5.1345 Å
α = 70.00°, β = 90.00°, γ = 90.00°
Fractional coordinates of all 4 atoms:
Zr 0.0000 0.0000 0.0000
Zr 0.5000 0.0000 0.5000
La 0.5000 0.5000 0.0000
P 0.0000 0.5000 0.5000

=====

RbPuGaF6 after structural relaxation, computed with PBE.

E_form (uncorrected) = -2.933 eV/atom

a = 6.5511 Å, b = 6.5511 Å, c = 10.7089 Å
α = 90.00°, β = 90.00°, γ = 120.00°
Last column: magnetic moment on the atom in μB.
Fractional coordinates of all 18 atoms:
Pu 0.3333 0.6667 0.2500  4.14
Pu 0.6667 0.3333 0.7500  4.14
Rb 0.0000 0.0000 0.5000  0.00
Rb 0.0000 0.0000 0.0000  0.00
F 0.6565 0.0499 0.8589  -0.03
F 0.6066 0.6565 0.1411  -0.03
F 0.3934 0.3435 0.8589  -0.03
F 0.6066 0.9501 0.3589  -0.03
F 0.3435 0.9501 0.1411  -0.03
F 0.0499 0.3934 0.1411  -0.03
F 0.3934 0.0499 0.6411  -0.03
F 0.3435 0.3934 0.3589  -0.03
F 0.0499 0.6565 0.3589  -0.03
F 0.9501 0.6066 0.8589  -0.03
F 0.9501 0.3435 0.6411  -0.03
F 0.6565 0.6066 0.6411  -0.03
Ga 0.6667 0.3333 0.2500  -0.01
Ga 0.3333 0.6667 0.7500  -0.01

=====

PrYHo4 after structural relaxation, computed with PBE.

energy relative to the elements = 0.0124 eV per atom
ΔE to the lowest computed polymorph = 0 meV/atom

a = 6.2017 Å, b = 6.2017 Å, c = 12.0801 Å
α = 104.82°, β = 104.82°, γ = 60.05°
Fractional coordinates of all 12 atoms:
Ho 0.6641 0.1680 0.9997
Ho 0.7492 0.5835 0.2499
Ho 0.4165 0.2508 0.2501
Ho 0.1680 0.6641 0.4997
Ho 0.2508 0.4165 0.7501
Ho 0.5835 0.7492 0.7499
Ho 0.8320 0.3359 0.5003
Ho 0.3359 0.8320 0.0003
Pr 0.9195 0.0805 0.7500
Pr 0.0805 0.9195 0.2500
Y 0.5000 0.0000 0.5000
Y 0.0000 0.5000 0.0000

=====

KTlIn2Pt after structural relaxation, computed with PBE.

energy relative to the elements = -0.1560 eV per atom
ΔE to the lowest computed polymorph = 0 meV/atom

a = 5.2755 Å, b = 5.2755 Å, c = 5.6146 Å
α = 90.00°, β = 90.00°, γ = 90.00°
Fractional coordinates of all 5 atoms:
Pt 0.0000 0.0000 0.0000
Tl 0.0000 0.0000 0.5000
K 0.5000 0.5000 0.5000
In 0.5000 0.0000 0.0000
In 0.0000 0.5000 0.0000

=====

LaP2WS after structural relaxation, computed with PBE.

E_form (uncorrected) = -0.562 eV/atom
ΔE to the lowest computed polymorph = 0 meV/atom

a = 4.7350 Å, b = 4.7350 Å, c = 4.7456 Å
α = 90.00°, β = 90.00°, γ = 90.00°
Fractional coordinates of all 5 atoms:
P 0.5000 0.0000 0.0000
P 0.0000 0.5000 0.0000
W 0.0000 0.0000 0.0000
La 0.5000 0.5000 0.5000
S 0.0000 0.0000 0.5000

=====

RbCa2AgF8 after structural relaxation, computed with PBE.

E_form (uncorrected) = -2.698 eV/atom

a = 4.9795 Å, b = 5.6624 Å, c = 7.3600 Å
α = 90.01°, β = 90.00°, γ = 85.42°
Fractional coordinates of all 12 atoms:
F 0.3833 0.2822 0.0000
F 0.5820 0.7122 0.5000
F 0.1059 0.7607 0.1901
F 0.8941 0.2393 0.8099
F 0.4180 0.2878 0.5000
F 0.6167 0.7178 0.0000
F 0.1059 0.7607 0.8099
F 0.8941 0.2393 0.1901
Ag 0.0000 0.0000 0.0000
Rb 0.0000 0.0000 0.5000
Ca 0.5000 0.5000 0.2402
Ca 0.5000 0.5000 0.7598

=====

no.,volume (A^3/atom),energy (Ry/atom)
1,25.27,-0.343
2,18.69,-0.445
3,22.10,-0.525
4,22.11,-0.457
5,32.05,-0.361
6,31.25,-0.232
7,21.28,-0.524
8,17.24,-0.338